An optimized crystal structure of AgAsSeN2. Source: the Alexandria database, functional GGA-PBEsol.

abc: 3.9926 3.9926 5.3243
angles: 90.00 90.00 90.00
Closest atoms and distances in Å follow each position.
Atoms (fractional coordinates):
Ag  0.0000  0.0000  0.0000  4 N 2.00
As  0.5000  0.5000  0.5000  4 Se 2.82
Se  0.0000  0.0000  0.5000  2 Ag 2.66, 4 As 2.82
N  0.0000  0.5000  0.0000  2 Ag 2.00
N  0.5000  0.0000  0.0000  2 Ag 2.00

Properties
total magnetization: 0.53 μB/atom
energy: -4.095 eV/atom
SG: P4/mmm, No. 123
uncorrected formation energy: 1.77 eV per atom
V: 84.9 Å³/cell



An optimized crystal structure of AgTeAsN2. Source: the Alexandria database, functional GGA-PBEsol.

abc: 4.0139 4.0139 6.1224
angles: 90.00 90.00 90.00
Closest atoms and distances in Å follow each position.
Atoms (fractional coordinates):
Ag  0.0000  0.0000  0.0000  4 N 2.01
Te  0.0000  0.0000  0.5000  4 As 2.84, 2 Ag 3.06
As  0.5000  0.5000  0.5000  4 Te 2.84
N  0.0000  0.5000  0.0000  2 Ag 2.01
N  0.5000  0.0000  0.0000  2 Ag 2.01

Properties
total magnetization: 0.72 μB/atom
energy: -4.044 eV/atom
SG: P4/mmm, No. 123
uncorrected formation energy: 1.76 eV per atom
V: 98.6 Å³/cell



An optimized crystal structure of Na2AgAs. Source: the Alexandria database, functional GGA-PBEsol.

abc: 5.7114 5.7114 5.5738
angles: 90.00 90.00 79.35
Closest atoms and distances in Å follow each position.
Atoms (fractional coordinates):
Na  0.0307  0.3243  0.2500  4 As 3.02-3.23, 1 Na 3.12, 4 Ag 3.32-3.34
Na  0.3243  0.0307  0.7500  4 As 3.02-3.23, 1 Na 3.12, 4 Ag 3.32-3.34
Na  0.6757  0.9693  0.2500  4 As 3.02-3.23, 1 Na 3.12, 4 Ag 3.32-3.34
Na  0.9693  0.6757  0.7500  4 As 3.02-3.23, 1 Na 3.12, 4 Ag 3.32-3.34
Ag  0.5000  0.5000  0.0000  2 As 2.52, 2 Ag 2.79
Ag  0.5000  0.5000  0.5000  2 As 2.52, 2 Ag 2.79
As  0.2122  0.7878  0.2500  2 Ag 2.52
As  0.7878  0.2122  0.7500  2 Ag 2.52

Properties
total magnetization: 0.00 μB/atom
energy: -3.163 eV/atom
SG: Cmcm, No. 63
V: 178.7 Å³/cell
energy of formation from the pure elements: -0.36 eV/atom



An optimized crystal structure of NaAg2As2. Source: the Alexandria database, functional GGA-PBEsol.

abc: 6.2522 6.2522 6.2522
angles: 139.36 139.36 58.83
Closest atoms and distances in Å follow each position.
Atoms (fractional coordinates):
Na  0.0000  0.0000  0.0000  8 As 3.30, 8 Ag 3.48
Ag  0.2500  0.7500  0.5000  4 As 2.65
Ag  0.7500  0.2500  0.5000  4 As 2.65
As  0.3890  0.3890  0.0000  1 As 2.42, 4 Ag 2.65
As  0.6110  0.6110  0.0000  1 As 2.42, 4 Ag 2.65

Properties
total magnetization: 0.00 μB/atom
energy: -3.777 eV/atom
SG: I4/mmm, No. 139
V: 102.7 Å³/cell
energy of formation from the pure elements: -0.13 eV/atom



An optimized crystal structure of NaAgAs2. Source: the Alexandria database, functional GGA-PBEsol.

abc: 4.7289 4.7289 4.7289
angles: 60.00 60.00 60.00
Closest atoms and distances in Å follow each position.
Atoms (fractional coordinates):
Na  0.0000  0.0000  0.0000  8 As 2.90
Ag  0.5000  0.5000  0.5000  8 As 2.90
As  0.2500  0.2500  0.2500  4 Na 2.90, 4 Ag 2.90
As  0.7500  0.7500  0.7500  4 Na 2.90, 4 Ag 2.90

Properties
total magnetization: 0.00 μB/atom
energy: -3.642 eV/atom
SG: Fm-3m, No. 225
V: 74.8 Å³/cell
energy of formation from the pure elements: 0.09 eV/atom



An optimized crystal structure of NaAgAsSe2. Source: the Alexandria database, functional GGA-PBEsol.

abc: 5.1717 5.1717 4.8293
angles: 90.00 90.00 90.00
Closest atoms and distances in Å follow each position.
Atoms (fractional coordinates):
Na  0.0000  0.0000  0.0000  8 Se 3.54, 4 As 3.66
Ag  0.5000  0.5000  0.5000  2 As 2.41, 4 Se 2.59
As  0.5000  0.5000  0.0000  2 Ag 2.41
Se  0.0000  0.5000  0.5000  2 Ag 2.59
Se  0.5000  0.0000  0.5000  2 Ag 2.59

Properties
total magnetization: 0.00 μB/atom
energy: -3.254 eV/atom
SG: P4/mmm, No. 123
uncorrected formation energy: 0.25 eV per atom
V: 129.2 Å³/cell



An optimized crystal structure of NbAgAsSe2. Source: the Alexandria database, functional GGA-PBEsol.

abc: 4.9537 4.9537 5.0162
angles: 90.00 90.00 90.00
Closest atoms and distances in Å follow each position.
Atoms (fractional coordinates):
Nb  0.0000  0.0000  0.0000  4 Se 2.48, 2 As 2.51
Ag  0.5000  0.5000  0.5000  4 As 3.50, 8 Se 3.52
As  0.0000  0.0000  0.5000  2 Nb 2.51
Se  0.0000  0.5000  0.0000  2 Nb 2.48
Se  0.5000  0.0000  0.0000  2 Nb 2.48

Properties
total magnetization: 0.00 μB/atom
energy: -5.150 eV/atom
SG: P4/mmm, No. 123
uncorrected formation energy: 0.24 eV per atom
V: 123.1 Å³/cell



An optimized crystal structure of NdAgAs2. Source: the Alexandria database, functional GGA-PBEsol.

abc: 4.0129 4.0129 10.3447
angles: 90.00 90.00 90.00
Closest atoms and distances in Å follow each position.
Atoms (fractional coordinates):
Nd  0.2500  0.2500  0.2305  8 As 2.99-3.12
Nd  0.7500  0.7500  0.7695  8 As 2.99-3.12
Ag  0.2500  0.7500  0.5000  4 As 2.72, 4 Ag 2.84
Ag  0.7500  0.2500  0.5000  4 As 2.72, 4 Ag 2.84
As  0.2500  0.2500  0.6775  4 Ag 2.72, 4 Nd 2.99
As  0.2500  0.7500  0.0000  4 As 2.84, 4 Nd 3.12
As  0.7500  0.2500  0.0000  4 As 2.84, 4 Nd 3.12
As  0.7500  0.7500  0.3225  4 Ag 2.72, 4 Nd 2.99

Properties
total magnetization: 0.00 μB/atom
energy: -5.481 eV/atom
SG: P4/nmm, No. 129
V: 166.6 Å³/cell
energy of formation from the pure elements: -0.81 eV/atom



An optimized crystal structure of NdAgAs2. Source: the Alexandria database, functional GGA-PBEsol.

abc: 20.7562 4.0112 4.0266
angles: 90.00 90.00 90.00
Closest atoms and distances in Å follow each position.
Atoms (fractional coordinates):
Nd  0.1159  0.2500  0.2277  8 As 2.99-3.16
Nd  0.3841  0.7500  0.7277  8 As 2.99-3.16
Nd  0.6159  0.2500  0.2723  8 As 2.99-3.16
Nd  0.8841  0.7500  0.7723  8 As 2.99-3.16
Ag  0.2501  0.2500  0.7260  4 As 2.72-2.73, 4 Ag 2.84
Ag  0.2499  0.7500  0.2260  4 As 2.72-2.73, 4 Ag 2.84
Ag  0.7501  0.2500  0.7740  4 As 2.72-2.73, 4 Ag 2.84
Ag  0.7499  0.7500  0.2740  4 As 2.72-2.73, 4 Ag 2.84
As  0.0011  0.2500  0.7104  2 As 2.63
As  0.1614  0.7500  0.7268  4 Ag 2.72-2.73, 4 Nd 2.99-3.00
As  0.3386  0.2500  0.2268  4 Ag 2.72-2.73, 4 Nd 2.99-3.00
As  0.4989  0.7500  0.2104  2 As 2.63
As  0.5011  0.2500  0.7896  2 As 2.63
As  0.6614  0.7500  0.7732  4 Ag 2.72-2.73, 4 Nd 2.99-3.00
As  0.8386  0.2500  0.2732  4 Ag 2.72-2.73, 4 Nd 2.99-3.00
As  0.9989  0.7500  0.2896  2 As 2.63

Properties
total magnetization: 0.00 μB/atom
energy: -5.485 eV/atom
SG: Pnma, No. 62
V: 335.2 Å³/cell
energy of formation from the pure elements: -0.81 eV/atom